Density functional theory data (PBE-GGA) for TbDyTh2Bi5 after structural relaxation.

V in Å³ per cell: 346.1
Formation energy in eV/atom: 0.061
Total magnetic moment in μB/cell: 0.0

Unit cell a=5.431 b=5.431 c=11.733 alpha=90.00 beta=90.00 gamma=90.00
Positions (direct):
Tb: 0.000 0.000 0.500
Dy: 0.000 0.000 0.000
Th: 0.500 0.500 0.299
Th: 0.500 0.500 0.701
Bi: 0.000 0.500 0.500
Bi: 0.500 0.000 0.500
Bi: 0.000 0.000 0.753
Bi: 0.000 0.000 0.247
Bi: 0.500 0.500 0.000